1.
Computed, not measured: a geometry-optimized GePF3 structure at the PBE level of DFT.

abc: 4.302 4.302 4.302
angles: 90.00 90.00 90.00
Positions (direct):
F (0.000, 0.500, 0.000)
F (0.000, 0.000, 0.500)
F (0.500, 0.000, 0.000)
Ge (0.000, 0.000, 0.000)
P (0.500, 0.500, 0.500)

Calculated values
Total energy, eV/atom: -4.002
Formation energy (no corrections), eV/atom: -0.8734
Space group: Pm-3m (221)
Spin magnetization, μB/f.u.: 2.33
Calculated volume, Å³/f.u.: 80
Crystal system: cubic
Density, g cm⁻³: 3.3

2.
Computed, not measured: a geometry-optimized TlZnGa2 structure at the PBE level of DFT.

abc: 4.267 4.267 6.437
angles: 70.65 70.65 60.00
Positions (direct):
Ga (0.285, 0.285, 0.146)
Ga (0.048, 0.048, 0.857)
Zn (0.674, 0.674, 0.979)
Tl (0.494, 0.494, 0.517)

Calculated values
Total energy, eV/atom: -2.337
Space group: R3m (160)
Spin magnetization, μB/f.u.: 0.00
Calculated volume, Å³/f.u.: 94
Crystal system: trigonal
Density, g cm⁻³: 7.2
Formation enthalpy at 0 K, eV per formula unit: 0.3

3.
Computed, not measured: a geometry-optimized LaDy2Tm structure at the PBE level of DFT.

abc: 3.584 3.584 10.133
angles: 90.00 90.00 90.00
Positions (direct):
Dy (0.000, 0.000, 0.241)
Dy (0.000, 0.000, 0.759)
Tm (0.500, 0.500, 0.000)
La (0.500, 0.500, 0.500)

Calculated values
Total energy, eV/atom: -4.617
Space group: P4/mmm (123)
Spin magnetization, μB/f.u.: 0.00
Calculated volume, Å³/f.u.: 130
Crystal system: tetragonal
Density, g cm⁻³: 8.1
Formation enthalpy at 0 K, eV per formula unit: 0.1

4.
Computed, not measured: a geometry-optimized K2SrSc structure at the PBE level of DFT.

abc: 6.806 6.806 7.891
angles: 84.96 84.96 32.39
Positions (direct):
K (0.000, 0.000, 0.996)
K (0.756, 0.756, 0.746)
Sr (0.241, 0.241, 0.291)
Sc (0.503, 0.503, 0.467)

Calculated values
Total energy, eV/atom: -2.063
Space group: Cm (8)
Spin magnetization, μB/f.u.: 0.56
Calculated volume, Å³/f.u.: 195
Crystal system: monoclinic
Density, g cm⁻³: 1.8
Formation enthalpy at 0 K, eV per formula unit: 2.0

Number 1: offset from the most stable computed form 0.000 eV/atom. Number 2: offset from the most stable computed form 0.030 eV/atom. Number 3: offset from the most stable computed form 0.026 eV/atom. Number 4: offset from the most stable computed form 0.135 eV/atom.